Entry from Alexandria via LeMat-Bulk: a relaxed structure of ZnGaCuTc (PBE-GGA).

- Calculated total energy: -4.80 eV per atom
- Formation enthalpy at 0 K: -0.105 eV per atom
- ρ: 8944 kg/m³

abc: 3.3649 3.9899 4.1028
angles: 90.00 90.00 90.00
With the nearest neighbours (Å) after each atom.
Space group Pmmm (No. 47)
Unique sites:
1 Zn 0.0000 0.0000 0.0000 x1  4 Cu 2.61, 4 Tc 2.65, 4 Ga 2.86
2 Ga 0.0000 0.5000 0.5000 x1  4 Tc 2.61, 4 Cu 2.65, 4 Zn 2.86
3 Cu 0.5000 0.5000 0.0000 x1  4 Zn 2.61, 4 Ga 2.65, 4 Tc 2.86
4 Tc 0.5000 0.0000 0.5000 x1  4 Ga 2.61, 4 Zn 2.65, 4 Cu 2.86


Entry from Alexandria via LeMat-Bulk: a relaxed structure of Ga2CuTe (PBE-GGA).

- Formation energy from raw total energies: 58 meV per atom
- Calculated total energy: -3.26 eV per atom
- ρ: 5685 kg/m³

abc: 5.0255 5.0255 15.2933
angles: 90.00 90.00 90.00
With the nearest neighbours (Å) after each atom.
Space group I-42d (No. 122)
Unique sites:
1 Ga 0.1427 0.2500 0.1250 x8  2 Cu 2.40
2 Cu 0.0000 0.0000 0.0000 x4  4 Ga 2.40
3 Te 0.0000 0.0000 0.5000 x4  4 Ga 2.91


Entry from Alexandria via LeMat-Bulk: a relaxed structure of GaCu3Te (PBE-GGA).

- Formation energy from raw total energies: 542 meV per atom
- Calculated total energy: -3.15 eV per atom
- ρ: 6669 kg/m³

abc: 4.5884 4.5884 4.5884
angles: 90.00 90.00 90.00
With the nearest neighbours (Å) after each atom.
Space group Pm-3m (No. 221)
Unique sites:
1 Ga 0.0000 0.0000 0.0000 x1  6 Cu 2.29
2 Cu 0.0000 0.0000 0.5000 x3  2 Ga 2.29
3 Te 0.5000 0.5000 0.5000 x1  12 Cu 3.24


Entry from Alexandria via LeMat-Bulk: a relaxed structure of GaCu2Te4 (PBE-GGA).

- Formation energy from raw total energies: -47 meV per atom
- Calculated total energy: -3.45 eV per atom
- ρ: 6325 kg/m³

abc: 7.7628 7.7628 12.3244
angles: 90.00 90.00 90.00
With the nearest neighbours (Å) after each atom.
Space group I4_1/amd (No. 141, origin choice 2)
Unique sites:
1 Ga 0.0000 0.2500 0.3750 x4  4 Te 2.70
2 Cu 0.0000 0.0000 0.0000 x8  6 Te 2.66-2.90
3 Te 0.0000 0.0177 0.7652 x16  3 Cu 2.66-2.90, 1 Ga 2.70


Entry from Alexandria via LeMat-Bulk: a relaxed structure of Ga5CuTe8 (PBE-GGA).

- Formation energy from raw total energies: -309 meV per atom
- Calculated total energy: -3.48 eV per atom
- ρ: 5445 kg/m³

abc: 6.0009 6.0009 12.1348
angles: 90.00 90.00 90.00
With the nearest neighbours (Å) after each atom.
Space group P-42m (No. 111)
Unique sites:
1 Ga 0.0000 0.0000 0.0000 x1  4 Te 2.68
2 Ga 0.0000 0.5000 0.2566 x4  4 Te 2.65-2.73
3 Cu 0.5000 0.5000 0.5000 x1  4 Te 2.60
4 Te 0.2397 0.2397 0.6126 x4  1 Cu 2.60, 2 Ga 2.65
5 Te 0.2689 0.2689 0.1163 x4  3 Ga 2.68-2.73


Entry from Alexandria via LeMat-Bulk: a relaxed structure of GaCuTe3 (PBE-GGA).

- Formation energy from raw total energies: 289 meV per atom
- Calculated total energy: -3.02 eV per atom
- ρ: 5979 kg/m³

abc: 5.2332 5.2332 5.2332
angles: 90.00 90.00 90.00
With the nearest neighbours (Å) after each atom.
Space group Pm-3m (No. 221)
Unique sites:
1 Ga 0.0000 0.0000 0.0000 x1  12 Te 3.70
2 Cu 0.5000 0.5000 0.5000 x1  6 Te 2.62
3 Te 0.0000 0.5000 0.5000 x3  2 Cu 2.62


Entry from Alexandria via LeMat-Bulk: a relaxed structure of GaCu2Te4 (PBE-GGA).

- Formation energy from raw total energies: 207 meV per atom
- Calculated total energy: -3.19 eV per atom
- ρ: 5911 kg/m³

abc: 5.2189 5.2189 14.5878
angles: 90.00 90.00 90.00
With the nearest neighbours (Å) after each atom.
Space group I4/mmm (No. 139)
Unique sites:
1 Ga 0.0000 0.0000 0.0000 x2  4 Te 2.61
2 Cu 0.0000 0.0000 0.4180 x4  1 Cu 2.39, 1 Te 2.48
3 Te 0.0000 0.0000 0.2484 x4  1 Cu 2.48
4 Te 0.0000 0.5000 0.0000 x4  2 Ga 2.61, 4 Cu 2.87


Entry from Alexandria via LeMat-Bulk: a relaxed structure of GaCu2Te (PBE-GGA).

- Formation energy from raw total energies: 68 meV per atom
- Calculated total energy: -3.52 eV per atom
- ρ: 6845 kg/m³

abc: 4.4355 4.4355 16.0021
angles: 90.00 90.00 90.00
With the nearest neighbours (Å) after each atom.
Space group I-42d (No. 122)
Unique sites:
1 Ga 0.0000 0.0000 0.0000 x4  4 Cu 2.43
2 Cu 0.1838 0.2500 0.1250 x8  2 Ga 2.43, 2 Te 2.68
3 Te 0.0000 0.0000 0.5000 x4  4 Cu 2.68


Entry from Alexandria via LeMat-Bulk: a relaxed structure of Ga2CuTe2 (PBE-GGA).

- Formation energy from raw total energies: 86 meV per atom
- Calculated total energy: -3.20 eV per atom
- ρ: 6054 kg/m³

abc: 7.7039 7.7039 4.2349
angles: 90.00 90.00 90.00
With the nearest neighbours (Å) after each atom.
Space group P4/mbm (No. 127)
Unique sites:
1 Ga 0.1209 0.3791 0.0000 x4  1 Ga 2.63, 2 Te 2.87
2 Cu 0.0000 0.0000 0.5000 x2  4 Te 2.77
3 Te 0.2015 0.7015 0.5000 x4  2 Cu 2.77, 2 Ga 2.87


Entry from Alexandria via LeMat-Bulk: a relaxed structure of Ga3CuTe (PBE-GGA).

- Formation energy from raw total energies: -23 meV per atom
- Calculated total energy: -3.29 eV per atom
- ρ: 5996 kg/m³

abc: 4.8039 4.8039 4.8039
angles: 90.00 90.00 90.00
With the nearest neighbours (Å) after each atom.
Space group Pm-3m (No. 221)
Unique sites:
1 Ga 0.0000 0.0000 0.5000 x3  2 Cu 2.40
2 Cu 0.0000 0.0000 0.0000 x1  6 Ga 2.40
3 Te 0.5000 0.5000 0.5000 x1  12 Ga 3.40


Entry from Alexandria via LeMat-Bulk: a relaxed structure of GaCu2Te (PBE-GGA).

- Formation energy from raw total energies: 219 meV per atom
- Calculated total energy: -3.37 eV per atom
- ρ: 7430 kg/m³

abc: 6.6193 6.6193 6.6193
angles: 90.00 90.00 90.00
With the nearest neighbours (Å) after each atom.
Space group Fm-3m (No. 225)
Unique sites:
1 Ga 0.0000 0.0000 0.0000 x4  8 Cu 2.87
2 Cu 0.2500 0.2500 0.2500 x8  4 Te 2.87, 4 Ga 2.87
3 Te 0.0000 0.0000 0.5000 x4  8 Cu 2.87


Entry from Alexandria via LeMat-Bulk: a relaxed structure of GaCu3Te (PBE-GGA).

- Formation energy from raw total energies: 679 meV per atom
- Calculated total energy: -3.01 eV per atom
- ρ: 5386 kg/m³

abc: 4.9272 4.9272 4.9272
angles: 90.00 90.00 90.00
With the nearest neighbours (Å) after each atom.
Space group Pm-3m (No. 221)
Unique sites:
1 Ga 0.0000 0.0000 0.0000 x1  12 Cu 3.48
2 Cu 0.0000 0.5000 0.5000 x3  2 Te 2.46
3 Te 0.5000 0.5000 0.5000 x1  6 Cu 2.46


Entry from Alexandria via LeMat-Bulk: a relaxed structure of GaCuTe3 (PBE-GGA).

- Formation energy from raw total energies: -116 meV per atom
- Calculated total energy: -3.43 eV per atom
- ρ: 5401 kg/m³

abc: 6.9720 4.3795 10.5373
angles: 90.00 99.50 90.00
With the nearest neighbours (Å) after each atom.
Space group P2_1/m (No. 11)
Unique sites:
1 Ga 0.1269 0.2500 0.1205 x2  4 Te 2.64-2.76
2 Cu 0.3563 0.2500 0.6886 x2  4 Te 2.55-2.69
3 Te 0.1053 0.2500 0.8564 x2  1 Cu 2.69, 3 Ga 2.76
4 Te 0.1372 0.2500 0.4662 x2  1 Cu 2.58
5 Te 0.4527 0.2500 0.2892 x2  2 Cu 2.55, 1 Ga 2.64


Entry from Alexandria via LeMat-Bulk: a relaxed structure of GaCu2Te3 (PBE-GGA).

- Formation energy from raw total energies: -88 meV per atom
- Calculated total energy: -3.53 eV per atom
- ρ: 6189 kg/m³

abc: 7.0122 4.1668 11.1324
angles: 90.00 107.01 90.00
With the nearest neighbours (Å) after each atom.
Space group P2_1/m (No. 11)
Unique sites:
1 Ga 0.1396 0.2500 0.2359 x2  2 Cu 2.56, 3 Te 2.67-2.72
2 Cu 0.0215 0.7500 0.4377 x2  2 Cu 2.57, 4 Te 2.62-2.73
3 Cu 0.1568 0.7500 0.1061 x2  2 Ga 2.56, 4 Te 2.60-2.79
4 Te 0.1824 0.7500 0.6823 x2  3 Cu 2.62-2.66, 1 Ga 2.67
5 Te 0.2389 0.2500 0.9905 x2  3 Cu 2.60-2.67
6 Te 0.3591 0.7500 0.3622 x2  2 Ga 2.72, 2 Cu 2.73-2.79


Entry from Alexandria via LeMat-Bulk: a relaxed structure of GaCuTe4 (PBE-GGA).

- Formation energy from raw total energies: -56 meV per atom
- Calculated total energy: -3.34 eV per atom
- ρ: 6417 kg/m³

abc: 10.1612 7.8652 8.7383
angles: 90.00 107.43 90.00
With the nearest neighbours (Å) after each atom.
Space group C2/c (No. 15)
Unique sites:
1 Ga 0.2500 0.2500 0.0000 x4  6 Te 2.86-3.08
2 Cu 0.0000 0.1543 0.2500 x4  4 Te 2.58-2.59
3 Te 0.0446 0.2917 0.5303 x8  1 Cu 2.59
4 Te 0.2075 0.0243 0.7328 x8  1 Cu 2.58, 1 Ga 2.86


Entry from Alexandria via LeMat-Bulk: a relaxed structure of TlGaCu2Te4 (PBE-GGA).

- Formation energy from raw total energies: -202 meV per atom
- Calculated total energy: -3.47 eV per atom
- ρ: 6241 kg/m³

abc: 6.2814 6.2814 12.2954
angles: 90.00 90.00 90.00
With the nearest neighbours (Å) after each atom.
Space group I-42m (No. 121)
Unique sites:
1 Tl 0.0000 0.0000 0.0000 x2  4 Te 2.94
2 Ga 0.0000 0.0000 0.5000 x2  4 Te 2.69
3 Cu 0.0000 0.5000 0.2500 x4  4 Te 2.60
4 Te 0.2321 0.2321 0.3596 x8  2 Cu 2.60, 1 Ga 2.69


Entry from Alexandria via LeMat-Bulk: a relaxed structure of Tl2GaCuTe4 (PBE-GGA).

- Formation energy from raw total energies: -160 meV per atom
- Calculated total energy: -3.21 eV per atom
- ρ: 6038 kg/m³

abc: 6.7709 6.9300 7.8248
angles: 115.93 115.31 90.70
With the nearest neighbours (Å) after each atom.
Space group P1 (No. 1)
Unique sites:
1 Tl 0.0000 0.0000 0.0000 x1  4 Te 3.12-3.14
2 Tl 0.2737 0.7755 0.5484 x1  4 Te 3.18-3.20
3 Ga 0.7538 0.2547 0.5080 x1  4 Te 2.67
4 Cu 0.5178 0.5176 0.0344 x1  4 Te 2.59-2.61
5 Te 0.1381 0.2161 0.7791 x1  1 Cu 2.61, 1 Ga 2.67
6 Te 0.4319 0.8777 0.2592 x1  1 Cu 2.59, 1 Ga 2.67
7 Te 0.6392 0.5639 0.7777 x1  1 Cu 2.60, 1 Ga 2.67
8 Te 0.8280 0.3820 0.2592 x1  1 Cu 2.59, 1 Ga 2.67


Entry from Alexandria via LeMat-Bulk: a relaxed structure of Tm8Ga3CuTe4 (PBE-GGA).

- Formation energy from raw total energies: -822 meV per atom
- Calculated total energy: -4.67 eV per atom
- ρ: 8420 kg/m³

abc: 8.1028 8.1028 22.2135
angles: 90.00 90.00 120.00
With the nearest neighbours (Å) after each atom.
Space group R-3m (No. 166, hexagonal axes)
Unique sites:
1 Tm 0.0000 0.0000 0.2441 x6  3 Ga 2.90, 3 Te 3.07
2 Tm 0.0024 0.5012 0.2432 x18  1 Cu 2.88, 2 Ga 2.90, 3 Te 3.07-3.09
3 Ga 0.0000 0.5000 0.5000 x9  6 Tm 2.90
4 Cu 0.0000 0.0000 0.5000 x3  6 Tm 2.88
5 Te 0.0000 0.0000 0.0000 x3  6 Tm 3.09
6 Te 0.0000 0.5000 0.0000 x9  6 Tm 3.07


Entry from Alexandria via LeMat-Bulk: a relaxed structure of YGaCuTe2 (PBE-GGA).

- Formation energy from raw total energies: 420 meV per atom
- Calculated total energy: -3.55 eV per atom
- ρ: 5171 kg/m³

abc: 5.3102 5.3102 5.4359
angles: 90.00 90.00 90.00
With the nearest neighbours (Å) after each atom.
Space group P4/mmm (No. 123)
Unique sites:
1 Y 0.0000 0.0000 0.0000 x1  2 Ga 2.72
2 Ga 0.0000 0.0000 0.5000 x1  4 Te 2.66, 2 Y 2.72
3 Cu 0.5000 0.5000 0.0000 x1  4 Y 3.75, 8 Te 3.80
4 Te 0.0000 0.5000 0.5000 x2  2 Ga 2.66


Entry from Alexandria via LeMat-Bulk: a relaxed structure of ZnGaCu2Te4 (PBE-GGA).

- Formation energy from raw total energies: -267 meV per atom
- Calculated total energy: -3.40 eV per atom
- ρ: 5772 kg/m³

abc: 6.0265 6.0265 12.2410
angles: 90.00 90.00 90.00
With the nearest neighbours (Å) after each atom.
Space group I-42m (No. 121)
Unique sites:
1 Zn 0.0000 0.0000 0.0000 x2  4 Te 2.67
2 Ga 0.0000 0.0000 0.5000 x2  4 Te 2.67
3 Cu 0.0000 0.5000 0.2500 x4  4 Te 2.58
4 Te 0.2497 0.2497 0.1313 x8  2 Cu 2.58, 1 Zn 2.67, 1 Ga 2.67